The following is a DFT calculation (PBE) of crystalline Li9ZnNi4 at its relaxed geometry.

abc: 7.8992 7.8992 7.9288
angles: 90.00 90.00 120.00
Last column: nearest neighbours and their distance in Å.
Space group P6_3/mmc (No. 194)
Asymmetric unit:
1 Li 0.0879 0.5439 0.2500  2 Ni 2.75, 1 Zn 2.88, 10 Li 2.91-3.07
2 Li 0.1832 0.3663 0.5549  4 Ni 2.54-2.67, 1 Zn 2.57, 2 Li 2.65
3 Zn 0.3333 0.6667 0.7500  6 Li 2.57
4 Ni 0.0000 0.0000 0.0000  6 Ni 2.42, 6 Li 2.54
5 Ni 0.1012 0.2025 0.2500  4 Ni 2.40-2.42, 6 Li 2.66-2.67

Properties
The calculation puts the energy of formation at -0.0074 eV per atom.